Version a
# PBE Ac2TeH, relaxed
# - Calculated volume: 30.13 Å³ per atom
data_Ac2TeH
_space_group_name_H-M_alt 'P 1'
_space_group_IT_number 1
_cell_length_a 8.197
_cell_length_b 6.718
_cell_length_c 8.922
_cell_angle_alpha 90.00
_cell_angle_beta 78.92
_cell_angle_gamma 90.00
loop_
_space_group_symop_operation_xyz
'x,y,z'
loop_
_atom_site_label
_atom_site_type_symbol
_atom_site_fract_x
_atom_site_fract_y
_atom_site_fract_z
Ac1 Ac 0.513 0.666 0.170
Ac2 Ac 0.013 0.834 0.170
Ac3 Ac 0.828 0.334 0.439
Ac4 Ac 0.987 0.166 0.830
Ac5 Ac 0.172 0.666 0.561
Ac6 Ac 0.672 0.834 0.561
Ac7 Ac 0.487 0.334 0.830
Ac8 Ac 0.328 0.166 0.439
Te1 Te 0.165 0.352 0.138
Te2 Te 0.335 0.852 0.862
Te3 Te 0.665 0.148 0.138
Te4 Te 0.835 0.648 0.862
H1 H 0.744 0.158 0.696
H2 H 0.244 0.342 0.696
H3 H 0.256 0.842 0.304
H4 H 0.756 0.658 0.304

Version b
# PBE Ac2TeH, relaxed
# - Calculated volume: 29.84 Å³ per atom
data_Ac2TeH
_space_group_name_H-M_alt 'P 1'
_space_group_IT_number 1
_cell_length_a 4.204
_cell_length_b 4.204
_cell_length_c 8.166
_cell_angle_alpha 75.08
_cell_angle_beta 75.08
_cell_angle_gamma 60.00
loop_
_space_group_symop_operation_xyz
'x,y,z'
loop_
_atom_site_label
_atom_site_type_symbol
_atom_site_fract_x
_atom_site_fract_y
_atom_site_fract_z
H1 H 0.000 0.000 0.000
Ac1 Ac 0.266 0.266 0.203
Ac2 Ac 0.734 0.734 0.797
Te1 Te 0.500 0.500 0.500

Result of the stability comparison: version a is the most stable of them.

Version a
# PBE Ac2ThH, relaxed
# - Calculated volume: 30.73 Å³ per atom
data_Ac2ThH
_space_group_name_H-M_alt 'P 1'
_space_group_IT_number 1
_cell_length_a 3.691
_cell_length_b 3.691
_cell_length_c 10.632
_cell_angle_alpha 80.00
_cell_angle_beta 80.00
_cell_angle_gamma 60.00
loop_
_space_group_symop_operation_xyz
'x,y,z'
loop_
_atom_site_label
_atom_site_type_symbol
_atom_site_fract_x
_atom_site_fract_y
_atom_site_fract_z
H1 H 0.500 0.500 0.500
Ac1 Ac 0.114 0.114 0.657
Ac2 Ac 0.886 0.886 0.343
Th1 Th 0.000 0.000 0.000

Version b
# PBE Ac2ThH, relaxed
# - Calculated volume: 30.51 Å³ per atom
data_Ac2ThH
_space_group_name_H-M_alt 'P 1'
_space_group_IT_number 1
_cell_length_a 3.678
_cell_length_b 3.678
_cell_length_c 9.020
_cell_angle_alpha 90.00
_cell_angle_beta 90.00
_cell_angle_gamma 90.00
loop_
_space_group_symop_operation_xyz
'x,y,z'
loop_
_atom_site_label
_atom_site_type_symbol
_atom_site_fract_x
_atom_site_fract_y
_atom_site_fract_z
H1 H 0.500 0.500 0.000
Ac1 Ac 0.000 0.000 0.795
Ac2 Ac 0.000 0.000 0.205
Th1 Th 0.500 0.500 0.500

Result of the stability comparison: version a is the most stable of them.

Version a
# PBE Ac3TlH, relaxed
# - Calculated volume: 31.06 Å³ per atom
data_Ac3TlH
_space_group_name_H-M_alt 'P 1'
_space_group_IT_number 1
_cell_length_a 5.375
_cell_length_b 5.375
_cell_length_c 5.375
_cell_angle_alpha 90.00
_cell_angle_beta 90.00
_cell_angle_gamma 90.00
loop_
_space_group_symop_operation_xyz
'x,y,z'
loop_
_atom_site_label
_atom_site_type_symbol
_atom_site_fract_x
_atom_site_fract_y
_atom_site_fract_z
H1 H 0.000 0.000 0.000
Ac1 Ac 0.000 0.500 0.000
Ac2 Ac 0.000 0.000 0.500
Ac3 Ac 0.500 0.000 0.000
Tl1 Tl 0.500 0.500 0.500

Version b
# PBE Ac3TlH, relaxed
# - Calculated volume: 32.05 Å³ per atom
data_Ac3TlH
_space_group_name_H-M_alt 'P 1'
_space_group_IT_number 1
_cell_length_a 4.073
_cell_length_b 9.649
_cell_length_c 16.309
_cell_angle_alpha 90.00
_cell_angle_beta 90.00
_cell_angle_gamma 90.00
loop_
_space_group_symop_operation_xyz
'x,y,z'
loop_
_atom_site_label
_atom_site_type_symbol
_atom_site_fract_x
_atom_site_fract_y
_atom_site_fract_z
Ac1 Ac 0.750 0.178 0.312
Ac2 Ac 0.250 0.670 0.985
Ac3 Ac 0.250 0.018 0.103
Ac4 Ac 0.250 0.518 0.397
Ac5 Ac 0.250 0.170 0.515
Ac6 Ac 0.750 0.482 0.603
Ac7 Ac 0.250 0.322 0.812
Ac8 Ac 0.750 0.982 0.897
Ac9 Ac 0.750 0.330 0.015
Ac10 Ac 0.750 0.678 0.188
Ac11 Ac 0.750 0.830 0.485
Ac12 Ac 0.250 0.822 0.688
Tl1 Tl 0.250 0.879 0.315
Tl2 Tl 0.750 0.121 0.685
Tl3 Tl 0.750 0.621 0.815
Tl4 Tl 0.250 0.379 0.185
H1 H 0.250 0.665 0.548
H2 H 0.750 0.335 0.452
H3 H 0.750 0.835 0.048
H4 H 0.250 0.165 0.952

Result of the stability comparison: version b is the most stable of them.

Version a
# PBE Ac2TmH, relaxed
# - Calculated volume: 30.42 Å³ per atom
data_Ac2TmH
_space_group_name_H-M_alt 'P 1'
_space_group_IT_number 1
_cell_length_a 3.687
_cell_length_b 3.687
_cell_length_c 8.950
_cell_angle_alpha 90.00
_cell_angle_beta 90.00
_cell_angle_gamma 90.00
loop_
_space_group_symop_operation_xyz
'x,y,z'
loop_
_atom_site_label
_atom_site_type_symbol
_atom_site_fract_x
_atom_site_fract_y
_atom_site_fract_z
H1 H 0.500 0.500 0.000
Ac1 Ac 0.000 0.000 0.800
Ac2 Ac 0.000 0.000 0.200
Tm1 Tm 0.500 0.500 0.500

Version b
# PBE Ac2TmH, relaxed
# - Calculated volume: 30.98 Å³ per atom
data_Ac2TmH
_space_group_name_H-M_alt 'P 1'
_space_group_IT_number 1
_cell_length_a 3.735
_cell_length_b 3.735
_cell_length_c 10.478
_cell_angle_alpha 79.73
_cell_angle_beta 79.73
_cell_angle_gamma 60.00
loop_
_space_group_symop_operation_xyz
'x,y,z'
loop_
_atom_site_label
_atom_site_type_symbol
_atom_site_fract_x
_atom_site_fract_y
_atom_site_fract_z
H1 H 0.500 0.500 0.500
Ac1 Ac 0.115 0.115 0.656
Ac2 Ac 0.885 0.885 0.344
Tm1 Tm 0.000 0.000 0.000

Result of the stability comparison: version b is the most stable of them.

Version a
# PBE AcYH, relaxed
# - Calculated volume: 27.19 Å³ per atom
data_AcYH
_space_group_name_H-M_alt 'P 1'
_space_group_IT_number 1
_cell_length_a 3.544
_cell_length_b 3.544
_cell_length_c 6.962
_cell_angle_alpha 104.74
_cell_angle_beta 104.74
_cell_angle_gamma 90.00
loop_
_space_group_symop_operation_xyz
'x,y,z'
loop_
_atom_site_label
_atom_site_type_symbol
_atom_site_fract_x
_atom_site_fract_y
_atom_site_fract_z
Y1 Y 0.742 0.742 0.485
H1 H 0.225 0.225 0.450
Ac1 Ac 0.033 0.033 0.065

Version b
# PBE AcYH, relaxed
# - Calculated volume: 25.40 Å³ per atom
data_AcYH
_space_group_name_H-M_alt 'P 1'
_space_group_IT_number 1
_cell_length_a 3.796
_cell_length_b 3.796
_cell_length_c 6.107
_cell_angle_alpha 90.00
_cell_angle_beta 90.00
_cell_angle_gamma 120.00
loop_
_space_group_symop_operation_xyz
'x,y,z'
loop_
_atom_site_label
_atom_site_type_symbol
_atom_site_fract_x
_atom_site_fract_y
_atom_site_fract_z
Y1 Y 0.667 0.333 0.441
H1 H 0.333 0.667 0.635
Ac1 Ac 0.000 0.000 0.925

Result of the stability comparison: version b is the most stable of them.

Version a
# PBE AcZnH, relaxed
# - Calculated volume: 24.38 Å³ per atom
data_AcZnH
_space_group_name_H-M_alt 'P 1'
_space_group_IT_number 1
_cell_length_a 3.972
_cell_length_b 6.506
_cell_length_c 7.654
_cell_angle_alpha 128.39
_cell_angle_beta 105.04
_cell_angle_gamma 90.00
loop_
_space_group_symop_operation_xyz
'x,y,z'
loop_
_atom_site_label
_atom_site_type_symbol
_atom_site_fract_x
_atom_site_fract_y
_atom_site_fract_z
H1 H 0.328 0.095 0.656
H2 H 0.672 0.905 0.344
Ac1 Ac 0.830 0.886 0.660
Ac2 Ac 0.170 0.114 0.340
Zn1 Zn 0.089 0.499 0.178
Zn2 Zn 0.911 0.501 0.822

Version b
# PBE AcZnH, relaxed
# - Calculated volume: 24.29 Å³ per atom
data_AcZnH
_space_group_name_H-M_alt 'P 1'
_space_group_IT_number 1
_cell_length_a 4.441
_cell_length_b 4.441
_cell_length_c 4.850
_cell_angle_alpha 117.25
_cell_angle_beta 117.25
_cell_angle_gamma 90.00
loop_
_space_group_symop_operation_xyz
'x,y,z'
loop_
_atom_site_label
_atom_site_type_symbol
_atom_site_fract_x
_atom_site_fract_y
_atom_site_fract_z
H1 H 0.915 0.915 0.829
Ac1 Ac 0.255 0.255 0.510
Zn1 Zn 0.680 0.680 0.361

Result of the stability comparison: version a is the most stable of them.

Version a
# PBE AcHfP2, relaxed
# - Calculated volume: 23.31 Å³ per atom
data_AcHfP2
_space_group_name_H-M_alt 'P 1'
_space_group_IT_number 1
_cell_length_a 3.980
_cell_length_b 3.980
_cell_length_c 7.174
_cell_angle_alpha 73.89
_cell_angle_beta 73.89
_cell_angle_gamma 60.00
loop_
_space_group_symop_operation_xyz
'x,y,z'
loop_
_atom_site_label
_atom_site_type_symbol
_atom_site_fract_x
_atom_site_fract_y
_atom_site_fract_z
P1 P 0.265 0.265 0.206
P2 P 0.735 0.735 0.794
Ac1 Ac 0.500 0.500 0.500
Hf1 Hf 0.000 0.000 0.000

Version b
# PBE AcHfP2, relaxed
# - Calculated volume: 23.48 Å³ per atom
data_AcHfP2
_space_group_name_H-M_alt 'P 1'
_space_group_IT_number 1
_cell_length_a 3.914
_cell_length_b 3.914
_cell_length_c 7.432
_cell_angle_alpha 74.73
_cell_angle_beta 74.73
_cell_angle_gamma 60.00
loop_
_space_group_symop_operation_xyz
'x,y,z'
loop_
_atom_site_label
_atom_site_type_symbol
_atom_site_fract_x
_atom_site_fract_y
_atom_site_fract_z
Ac1 Ac 0.497 0.497 0.510
Hf1 Hf 0.669 0.669 0.992
P1 P 0.068 0.068 0.795
P2 P 0.266 0.266 0.203

Result of the stability comparison: version a is the most stable of them.

Version a
# PBE AcHfPd2, relaxed
# - Calculated volume: 22.57 Å³ per atom
data_AcHfPd2
_space_group_name_H-M_alt 'P 1'
_space_group_IT_number 1
_cell_length_a 3.473
_cell_length_b 3.473
_cell_length_c 7.487
_cell_angle_alpha 90.00
_cell_angle_beta 90.00
_cell_angle_gamma 90.00
loop_
_space_group_symop_operation_xyz
'x,y,z'
loop_
_atom_site_label
_atom_site_type_symbol
_atom_site_fract_x
_atom_site_fract_y
_atom_site_fract_z
Ac1 Ac 0.500 0.500 0.500
Hf1 Hf 0.500 0.500 0.000
Pd1 Pd 0.000 0.000 0.808
Pd2 Pd 0.000 0.000 0.192

Version b
# PBE AcHfPd2, relaxed
# - Calculated volume: 22.51 Å³ per atom
data_AcHfPd2
_space_group_name_H-M_alt 'P 1'
_space_group_IT_number 1
_cell_length_a 3.456
_cell_length_b 5.105
_cell_length_c 5.105
_cell_angle_alpha 90.00
_cell_angle_beta 90.00
_cell_angle_gamma 90.00
loop_
_space_group_symop_operation_xyz
'x,y,z'
loop_
_atom_site_label
_atom_site_type_symbol
_atom_site_fract_x
_atom_site_fract_y
_atom_site_fract_z
Ac1 Ac 0.500 0.500 0.500
Hf1 Hf 0.500 0.000 0.000
Pd1 Pd 0.000 0.000 0.500
Pd2 Pd 0.000 0.500 0.000

Result of the stability comparison: version a is the most stable of them.

Version a
# PBE AcPm2Hf, relaxed
# - Calculated volume: 33.20 Å³ per atom
data_AcPm2Hf
_space_group_name_H-M_alt 'P 1'
_space_group_IT_number 1
_cell_length_a 4.051
_cell_length_b 4.051
_cell_length_c 8.093
_cell_angle_alpha 90.00
_cell_angle_beta 90.00
_cell_angle_gamma 90.00
loop_
_space_group_symop_operation_xyz
'x,y,z'
loop_
_atom_site_label
_atom_site_type_symbol
_atom_site_fract_x
_atom_site_fract_y
_atom_site_fract_z
Ac1 Ac 0.500 0.500 0.500
Hf1 Hf 0.500 0.500 0.000
Pm1 Pm 0.000 0.000 0.799
Pm2 Pm 0.000 0.000 0.201

Version b
# PBE AcPm2Hf, relaxed
# - Calculated volume: 33.17 Å³ per atom
data_AcPm2Hf
_space_group_name_H-M_alt 'P 1'
_space_group_IT_number 1
_cell_length_a 3.511
_cell_length_b 3.511
_cell_length_c 12.594
_cell_angle_alpha 81.99
_cell_angle_beta 81.99
_cell_angle_gamma 60.00
loop_
_space_group_symop_operation_xyz
'x,y,z'
loop_
_atom_site_label
_atom_site_type_symbol
_atom_site_fract_x
_atom_site_fract_y
_atom_site_fract_z
Ac1 Ac 0.500 0.500 0.500
Hf1 Hf 0.000 0.000 0.000
Pm1 Pm 0.083 0.083 0.750
Pm2 Pm 0.917 0.917 0.250

Result of the stability comparison: version a is the most stable of them.

Version a
# PBE AcHfPt2, relaxed
# - Calculated volume: 27.54 Å³ per atom
data_AcHfPt2
_space_group_name_H-M_alt 'P 1'
_space_group_IT_number 1
_cell_length_a 3.765
_cell_length_b 3.765
_cell_length_c 9.232
_cell_angle_alpha 78.23
_cell_angle_beta 78.23
_cell_angle_gamma 60.00
loop_
_space_group_symop_operation_xyz
'x,y,z'
loop_
_atom_site_label
_atom_site_type_symbol
_atom_site_fract_x
_atom_site_fract_y
_atom_site_fract_z
Ac1 Ac 0.000 0.000 0.000
Hf1 Hf 0.500 0.500 0.500
Pt1 Pt 0.109 0.109 0.674
Pt2 Pt 0.891 0.891 0.326

Version b
# PBE AcHfPt2, relaxed
# - Calculated volume: 22.35 Å³ per atom
data_AcHfPt2
_space_group_name_H-M_alt 'P 1'
_space_group_IT_number 1
_cell_length_a 3.442
_cell_length_b 3.442
_cell_length_c 7.546
_cell_angle_alpha 90.00
_cell_angle_beta 90.00
_cell_angle_gamma 90.00
loop_
_space_group_symop_operation_xyz
'x,y,z'
loop_
_atom_site_label
_atom_site_type_symbol
_atom_site_fract_x
_atom_site_fract_y
_atom_site_fract_z
Ac1 Ac 0.500 0.500 0.500
Hf1 Hf 0.500 0.500 0.000
Pt1 Pt 0.000 0.000 0.807
Pt2 Pt 0.000 0.000 0.193

Result of the stability comparison: version b is the most stable of them.

Version a
# PBE Ac2Hf2S7, relaxed
# - Calculated volume: 25.80 Å³ per atom
data_Ac2Hf2S7
_space_group_name_H-M_alt 'P 1'
_space_group_IT_number 1
_cell_length_a 9.293
_cell_length_b 9.293
_cell_length_c 9.293
_cell_angle_alpha 60.00
_cell_angle_beta 60.00
_cell_angle_gamma 60.00
loop_
_space_group_symop_operation_xyz
'x,y,z'
loop_
_atom_site_label
_atom_site_type_symbol
_atom_site_fract_x
_atom_site_fract_y
_atom_site_fract_z
Ac1 Ac 0.625 0.625 0.625
Ac2 Ac 0.625 0.625 0.125
Ac3 Ac 0.625 0.125 0.625
Ac4 Ac 0.125 0.625 0.625
Hf1 Hf 0.625 0.125 0.125
Hf2 Hf 0.125 0.625 0.125
Hf3 Hf 0.125 0.125 0.625
Hf4 Hf 0.125 0.125 0.125
S1 S 0.205 0.205 0.795
S2 S 0.205 0.795 0.205
S3 S 0.455 0.045 0.455
S4 S 0.455 0.455 0.045
S5 S 0.750 0.750 0.750
S6 S 0.795 0.205 0.205
S7 S 0.455 0.045 0.045
S8 S 0.045 0.455 0.455
S9 S 0.045 0.045 0.455
S10 S 0.045 0.455 0.045
S11 S 0.205 0.795 0.795
S12 S 0.500 0.500 0.500
S13 S 0.795 0.205 0.795
S14 S 0.795 0.795 0.205

Version b
# PBE Ac2Hf2S7, relaxed
# - Calculated volume: 33.03 Å³ per atom
data_Ac2Hf2S7
_space_group_name_H-M_alt 'P 1'
_space_group_IT_number 1
_cell_length_a 6.887
_cell_length_b 7.639
_cell_length_c 7.639
_cell_angle_alpha 113.53
_cell_angle_beta 95.22
_cell_angle_gamma 95.22
loop_
_space_group_symop_operation_xyz
'x,y,z'
loop_
_atom_site_label
_atom_site_type_symbol
_atom_site_fract_x
_atom_site_fract_y
_atom_site_fract_z
Ac1 Ac 0.500 0.316 0.684
Ac2 Ac 0.500 0.684 0.316
Hf1 Hf 0.891 0.260 0.260
Hf2 Hf 0.109 0.740 0.740
S1 S 0.286 0.941 0.612
S2 S 0.714 0.388 0.059
S3 S 0.714 0.059 0.388
S4 S 0.286 0.612 0.941
S5 S 0.000 0.000 0.000
S6 S 0.780 0.564 0.564
S7 S 0.220 0.436 0.436

Result of the stability comparison: version a is the most stable of them.

Version a
# PBE AcHf4S8, relaxed
# - Calculated volume: 24.80 Å³ per atom
data_AcHf4S8
_space_group_name_H-M_alt 'P 1'
_space_group_IT_number 1
_cell_length_a 7.697
_cell_length_b 7.697
_cell_length_c 7.697
_cell_angle_alpha 60.00
_cell_angle_beta 60.00
_cell_angle_gamma 60.00
loop_
_space_group_symop_operation_xyz
'x,y,z'
loop_
_atom_site_label
_atom_site_type_symbol
_atom_site_fract_x
_atom_site_fract_y
_atom_site_fract_z
Ac1 Ac 0.750 0.750 0.750
Hf1 Hf 0.909 0.364 0.364
Hf2 Hf 0.364 0.909 0.364
Hf3 Hf 0.364 0.364 0.909
Hf4 Hf 0.364 0.364 0.364
S1 S 0.609 0.130 0.130
S2 S 0.130 0.609 0.130
S3 S 0.130 0.130 0.609
S4 S 0.130 0.130 0.130
S5 S 0.187 0.604 0.604
S6 S 0.604 0.187 0.604
S7 S 0.604 0.604 0.187
S8 S 0.604 0.604 0.604

Version b
# PBE AcHf4S8, relaxed
# - Calculated volume: 24.68 Å³ per atom
data_AcHf4S8
_space_group_name_H-M_alt 'P 1'
_space_group_IT_number 1
_cell_length_a 7.215
_cell_length_b 7.215
_cell_length_c 8.246
_cell_angle_alpha 64.06
_cell_angle_beta 64.06
_cell_angle_gamma 60.00
loop_
_space_group_symop_operation_xyz
'x,y,z'
loop_
_atom_site_label
_atom_site_type_symbol
_atom_site_fract_x
_atom_site_fract_y
_atom_site_fract_z
Ac1 Ac 0.500 0.500 0.500
Hf1 Hf 0.000 0.500 0.000
Hf2 Hf 0.500 0.500 0.000
Hf3 Hf 0.500 0.000 0.000
Hf4 Hf 0.000 0.000 0.000
S1 S 0.744 0.235 0.786
S2 S 0.765 0.256 0.214
S3 S 0.256 0.765 0.214
S4 S 0.765 0.765 0.214
S5 S 0.735 0.735 0.794
S6 S 0.265 0.265 0.206
S7 S 0.235 0.235 0.786
S8 S 0.235 0.744 0.786

Result of the stability comparison: version b is the most stable of them.